Entry i
Compound: TlOs2O8
Source: the Alexandria database
Functional: GGA-PBE
Structure: optimized geometry

## Properties
Its crystal system is monoclinic. The value obtained for the density of states at the Fermi level is 4.373 states/eV per cell. The space-group type is C2/m, No. 12.

Cell lengths 5.583, 6.943, 6.943 Å; angles 71.01, 93.12, 93.12 degrees
Atoms (fractional coordinates):
O (0.772, 0.217, 0.217)
O (0.618, 0.619, 0.619)
O (0.228, 0.783, 0.783)
O (0.327, 0.992, 0.324)
O (0.382, 0.381, 0.381)
O (0.673, 0.676, 0.008)
O (0.673, 0.008, 0.676)
O (0.327, 0.324, 0.992)
Os (0.534, 0.763, 0.763)
Os (0.466, 0.237, 0.237)
Tl (0.000, 0.000, 0.000)

=====

Entry ii
Compound: TlOs2O8
Source: the Alexandria database
Functional: GGA-PBE
Structure: optimized geometry

## Properties
Its crystal system is monoclinic. The value obtained for the density of states at the Fermi level is 7.588 states/eV per cell. The space-group type is C2/m, No. 12.

Cell lengths 7.626, 7.626, 7.655 Å; angles 89.43, 60.27, 119.48 degrees
Atoms (fractional coordinates):
Tl (0.000, 0.000, 0.000)
O (0.313, 0.159, 0.158)
O (0.315, 0.844, 0.841)
O (0.685, 0.156, 0.159)
O (0.687, 0.841, 0.842)
O (0.683, 0.529, 0.158)
O (0.317, 0.471, 0.842)
O (0.687, 0.843, 0.470)
O (0.313, 0.157, 0.530)
Os (0.498, 0.250, 0.251)
Os (0.502, 0.750, 0.749)

=====

What is the stability order? It is entry ii, entry i, from most stable to least stable.

=====

Entry i
Compound: Tl3OsO
Source: the Alexandria database
Functional: GGA-PBE
Structure: optimized geometry

## Properties
Its crystal system is cubic. The value obtained for the density of states at the Fermi level is 3.072 states/eV per cell. The space-group type is Pm-3m, No. 221.

Cell lengths 4.814, 4.814, 4.814 Å; angles 90.00, 90.00, 90.00 degrees
Atoms (fractional coordinates):
Tl (0.000, 0.500, 0.000)
Tl (0.000, 0.000, 0.500)
Tl (0.500, 0.000, 0.000)
Os (0.500, 0.500, 0.500)
O (0.000, 0.000, 0.000)

=====

Entry ii
Compound: Tl3OsO
Source: the Alexandria database
Functional: GGA-PBE
Structure: optimized geometry

## Properties
Its crystal system is cubic. The value obtained for the density of states at the Fermi level is 5.305 states/eV per cell. The space-group type is Pm-3m, No. 221.

Cell lengths 5.248, 5.248, 5.248 Å; angles 90.00, 90.00, 90.00 degrees
Atoms (fractional coordinates):
Tl (0.000, 0.000, 0.500)
Tl (0.000, 0.500, 0.000)
Tl (0.500, 0.000, 0.000)
Os (0.000, 0.000, 0.000)
O (0.500, 0.500, 0.500)

=====

What is the stability order? It is entry ii, entry i, from most stable to least stable.

=====

Entry i
Compound: Tl2OsO4
Source: the Alexandria database
Functional: GGA-PBE
Structure: optimized geometry

## Properties
Its crystal system is tetragonal. The value obtained for the density of states at the Fermi level is 4.939 states/eV per cell. The space-group type is I4_1/a, No. 88.

Cell lengths 6.512, 6.512, 8.981 Å; angles 111.25, 111.25, 90.00 degrees
Atoms (fractional coordinates):
O (0.249, 0.194, 0.092)
O (0.908, 0.352, 0.408)
O (0.102, 0.751, 0.908)
O (0.944, 0.092, 0.592)
O (0.842, 0.898, 0.092)
O (0.648, 0.499, 0.592)
O (0.501, 0.056, 0.408)
O (0.806, 0.158, 0.908)
Os (0.000, 0.000, 0.000)
Os (0.750, 0.250, 0.500)
Tl (0.875, 0.625, 0.250)
Tl (0.375, 0.125, 0.750)
Tl (0.375, 0.625, 0.250)
Tl (0.375, 0.625, 0.750)

=====

Entry ii
Compound: Tl2OsO4
Source: the Alexandria database
Functional: GGA-PBE
Structure: optimized geometry

## Properties
Its crystal system is tetragonal. The value obtained for the density of states at the Fermi level is 2.967 states/eV per cell. The space-group type is I4/mmm, No. 139.

Cell lengths 3.826, 3.826, 8.482 Å; angles 76.96, 76.96, 90.00 degrees
Atoms (fractional coordinates):
O (0.500, 0.000, 0.000)
O (0.880, 0.880, 0.240)
O (0.000, 0.500, 0.000)
O (0.120, 0.120, 0.760)
Tl (0.660, 0.660, 0.679)
Tl (0.340, 0.340, 0.321)
Os (0.000, 0.000, 0.000)

=====

Entry iii
Compound: Tl2OsO4
Source: the Alexandria database
Functional: GGA-PBE
Structure: optimized geometry

## Properties
Its crystal system is monoclinic. The space-group type is Cm, No. 8.

Cell lengths 6.426, 6.426, 6.417 Å; angles 120.45, 122.42, 87.62 degrees
Atoms (fractional coordinates):
O (0.088, 0.176, 0.896)
O (0.720, 0.808, 0.896)
O (0.079, 0.270, 0.349)
O (0.104, 0.735, 0.840)
Tl (0.229, 0.730, 0.512)
Tl (0.782, 0.283, 0.512)
Os (0.997, 0.998, 0.995)

=====

What is the stability order? It is entry iii, entry ii, entry i, from most stable to least stable.

=====

Entry i
Compound: Tl2Os2O7
Source: the Alexandria database
Functional: GGA-PBE
Structure: optimized geometry

## Properties
Its crystal system is cubic. The value obtained for the density of states at the Fermi level is 16.234 states/eV per cell. The space-group type is Fd-3m, No. 227.

Cell lengths 7.402, 7.402, 7.402 Å; angles 60.00, 60.00, 60.00 degrees
Atoms (fractional coordinates):
O (0.191, 0.191, 0.809)
O (0.441, 0.441, 0.059)
O (0.809, 0.809, 0.191)
O (0.809, 0.191, 0.191)
O (0.059, 0.441, 0.059)
O (0.441, 0.059, 0.441)
O (0.809, 0.191, 0.809)
O (0.191, 0.809, 0.809)
O (0.750, 0.750, 0.750)
O (0.059, 0.441, 0.441)
O (0.500, 0.500, 0.500)
O (0.441, 0.059, 0.059)
O (0.059, 0.059, 0.441)
O (0.191, 0.809, 0.191)
Tl (0.625, 0.625, 0.625)
Tl (0.625, 0.625, 0.125)
Tl (0.625, 0.125, 0.625)
Tl (0.125, 0.625, 0.625)
Os (0.125, 0.125, 0.125)
Os (0.625, 0.125, 0.125)
Os (0.125, 0.125, 0.625)
Os (0.125, 0.625, 0.125)

=====

Entry ii
Compound: Tl2Os2O7
Source: the Alexandria database
Functional: GGA-PBE
Structure: optimized geometry

## Properties
Its crystal system is monoclinic. The value obtained for the density of states at the Fermi level is 2.018 states/eV per cell. The space-group type is C2/m, No. 12.

Cell lengths 6.406, 6.580, 6.580 Å; angles 122.81, 96.60, 96.60 degrees
Atoms (fractional coordinates):
O (0.833, 0.559, 0.559)
O (0.265, 0.939, 0.678)
O (0.167, 0.441, 0.441)
O (0.265, 0.678, 0.939)
O (0.000, 0.000, 0.000)
O (0.735, 0.322, 0.061)
O (0.735, 0.061, 0.322)
Tl (0.500, 0.321, 0.679)
Tl (0.500, 0.679, 0.321)
Os (0.110, 0.752, 0.752)
Os (0.890, 0.248, 0.248)

=====

What is the stability order? It is entry ii, entry i, from most stable to least stable.